VASP calculation (PBE) on PaBe2PbO6 after structural relaxation.

Cell lengths 5.2416, 5.2416, 16.5085 Å; angles 90.00, 90.00, 120.00 degrees
Space group R-3 (No. 148, hexagonal axes)
One atom of each set of equivalent atoms:
Pa  0.0000  0.0000  0.0000 (multiplicity 3)
Be  0.0000  0.0000  0.2530 (multiplicity 6)
Pb  0.0000  0.0000  0.5000 (multiplicity 3)
O  0.0236  0.7158  0.7452 (multiplicity 18)

ΔE_f (raw) = -2463.1 meV per atom